*i*
This record from Alexandria describes an optimized crystal structure of Al. The functional is PBE.

The structure in POSCAR format:
```
Al
1.0
2.2131 -4.0243 0.0000
2.2131 4.0243 0.0000
0.0000 0.0000 4.6062
Al
4
Direct
0.1559 0.8441 0.9294
0.3441 0.6559 0.4294
0.6559 0.3441 0.5706
0.8441 0.1559 0.0706
```

Summary:
- space group = Cmce
- crystal system = orthorhombic
- total magnetization (μB/atom) = 0.000

*ii*
This record from Alexandria describes an optimized crystal structure of Al. The functional is PBE.

The structure in POSCAR format:
```
Al
1.0
2.8149 0.0000 0.0000
-1.4074 2.4377 0.0000
0.0000 0.0000 4.8611
Al
2
Direct
0.3333 0.6667 0.2500
0.6667 0.3333 0.7500
```

Summary:
- space group = P6_3/mmc
- crystal system = hexagonal
- total magnetization (μB/atom) = 0.000

*iii*
This record from Alexandria describes an optimized crystal structure of Al. The functional is PBE.

The structure in POSCAR format:
```
Al
1.0
4.4661 -4.4660 0.0000
4.4661 4.4660 0.0000
-4.4640 0.0000 5.4884
Al
12
Direct
0.0000 0.5000 0.5000
0.0201 0.0201 0.2351
0.2138 0.5208 0.2344
0.2494 0.7506 0.0000
0.2875 0.2875 0.7663
0.4792 0.7862 0.7656
0.5000 0.0000 0.5000
0.5208 0.2138 0.2344
0.7125 0.7125 0.2337
0.7506 0.2494 0.0000
0.7862 0.4792 0.7656
0.9799 0.9799 0.7649
```

Summary:
- space group = C2/m
- crystal system = monoclinic
- total magnetization (μB/atom) = 0.000

*iv*
This record from Alexandria describes an optimized crystal structure of Al. The functional is PBE.

The structure in POSCAR format:
```
Al
1.0
12.0012 0.0000 0.0000
1.2988 11.9869 0.0000
1.4850 1.1965 11.9192
Al
100
Direct
0.0000 0.0000 0.0000
0.0002 0.9496 0.5756
0.0040 0.8682 0.2028
0.0213 0.2122 0.3315
0.0256 0.6827 0.3835
0.0393 0.1762 0.5620
0.0658 0.1177 0.7820
0.0832 0.1820 0.0863
0.0898 0.6448 0.1627
0.0909 0.9893 0.3437
0.0973 0.3043 0.8834
0.1001 0.4796 0.0160
0.1165 0.7119 0.9344
0.1229 0.3501 0.6583
0.1262 0.3697 0.4360
0.1281 0.5349 0.7898
0.1423 0.5726 0.5586
0.1452 0.3613 0.2090
0.1475 0.7675 0.7082
0.1669 0.7987 0.4856
0.1875 0.9309 0.8546
0.1924 0.9683 0.0842
0.2107 0.9948 0.6128
0.2242 0.7880 0.2592
0.2295 0.5551 0.3372
0.2345 0.1385 0.4140
0.2714 0.1487 0.1833
0.2779 0.1445 0.8590
0.2821 0.3158 0.9999
0.2958 0.7376 0.0447
0.3067 0.5022 0.1327
0.3102 0.2043 0.6078
0.3129 0.3716 0.7642
0.3161 0.5471 0.9063
0.3270 0.9244 0.3820
0.3372 0.6012 0.6665
0.3411 0.4363 0.5183
0.3489 0.3172 0.3284
0.3500 0.7652 0.8119
0.3808 0.6716 0.4301
0.3880 0.9410 0.1620
0.3921 0.9471 0.9361
0.3929 0.8244 0.5814
0.4081 0.0020 0.7103
0.4556 0.7135 0.1989
0.4594 0.0428 0.4781
0.4659 0.3181 0.1146
0.4709 0.1455 0.9842
0.4750 0.4986 0.3037
0.4776 0.1146 0.2508
0.4954 0.2089 0.7404
0.5020 0.3767 0.8894
0.5184 0.2666 0.4963
0.5212 0.4295 0.6529
0.5229 0.5377 0.0602
0.5253 0.7530 0.9621
0.5299 0.5961 0.8071
0.5584 0.8891 0.2915
0.5646 0.8194 0.7227
0.5675 0.6417 0.5736
0.5933 0.9415 0.0521
0.6018 0.2963 0.2747
0.6069 0.0099 0.8197
0.6232 0.6688 0.3479
0.6340 0.0675 0.5906
0.6445 0.8479 0.4898
0.6580 0.4527 0.4533
0.6749 0.1478 0.1051
0.6799 0.0727 0.3523
0.6852 0.7245 0.1165
0.6871 0.2161 0.8619
0.6975 0.3684 0.0296
0.7110 0.2713 0.6174
0.7121 0.4937 0.2144
0.7132 0.4373 0.7722
0.7183 0.5902 0.9359
0.7376 0.8147 0.8762
0.7454 0.6617 0.7031
0.7702 0.9286 0.1853
0.7811 0.8890 0.6469
0.7895 0.0125 0.9453
0.8005 0.2931 0.3454
0.8084 0.6122 0.4835
0.8381 0.0837 0.7159
0.8447 0.7076 0.2636
0.8509 0.1039 0.4779
0.8669 0.8846 0.4068
0.8875 0.2086 0.9736
0.8897 0.1030 0.2149
0.8914 0.5790 0.0805
0.8919 0.3804 0.5145
0.9028 0.2894 0.7420
0.9036 0.4404 0.9074
0.9040 0.8006 0.0293
0.9127 0.3473 0.1381
0.9292 0.6680 0.8365
0.9330 0.5106 0.6741
0.9479 0.4853 0.3049
0.9542 0.7302 0.5991
0.9616 0.8966 0.8079
```

Summary:
- space group = P1
- crystal system = triclinic
- total magnetization (μB/atom) = 0.000

*ii* ends up most stable, edging out the next structure by 2.6 kJ/mol of atoms.

*i*
This record from Alexandria describes an optimized crystal structure of Al. The functional is PBE.

The structure in POSCAR format:
```
Al
1.0
-4.0628 4.0628 4.0628
4.0628 -4.0628 4.0628
4.0628 4.0628 -4.0628
Al
8
Direct
0.0000 0.0000 0.2485
0.0000 0.0000 0.6178
0.0000 0.2485 0.0000
0.0000 0.6178 0.0000
0.2485 0.0000 0.0000
0.3822 0.3822 0.3822
0.6178 0.0000 0.0000
0.7515 0.7515 0.7515
```

Summary:
- space group = I-43m
- crystal system = cubic
- total magnetization (μB/atom) = 0.000

*ii*
This record from Alexandria describes an optimized crystal structure of Al. The functional is PBE.

The structure in POSCAR format:
```
Al
1.0
-4.6190 4.6190 2.3636
4.6190 -4.6190 2.3636
4.6190 4.6190 -2.3636
Al
8
Direct
0.1003 0.6003 0.7006
0.1938 0.3062 0.5000
0.3062 0.8062 0.1124
0.3997 0.1003 0.5000
0.6003 0.8997 0.5000
0.6938 0.1938 0.8876
0.8062 0.6938 0.5000
0.8997 0.3997 0.2994
```

Summary:
- space group = I4/mcm
- crystal system = tetragonal
- total magnetization (μB/atom) = 0.000

*ii* ends up most stable, edging out the next structure by 33.3 kJ/mol of atoms.